No. 1
Compound: HfRe3Ni
Source: Alexandria
Functional: PBE
Structure: relaxed

## Properties
Energy above the most stable polymorph in this dataset (eV per formula unit): 7.57
Space-group type: Pm-3m
ΔH_f (0 K) (eV/atom): 2.76

Cell: 4.7103 4.7103 4.7103 Å, 90.00 90.00 90.00°
With the nearest neighbours (Å) after each atom.
Element x y z (fractional)
1 Hf 0.0000 0.0000 0.0000  6 Re 2.36
2 Re 0.0000 0.0000 0.5000  2 Hf 2.36
3 Re 0.0000 0.5000 0.0000  2 Hf 2.36
4 Re 0.5000 0.0000 0.0000  2 Hf 2.36
5 Ni 0.5000 0.5000 0.5000  12 Re 3.33

***

No. 2
Compound: Pr2InSi
Source: Alexandria
Functional: PBE
Structure: relaxed

## Properties
E_form (uncorrected) (eV per atom): -0.459
Space-group type: P4/mmm

Cell: 3.9338 3.9338 6.9447 Å, 90.00 90.00 90.00°
With the nearest neighbours (Å) after each atom.
Element x y z (fractional)
1 Pr 0.0000 0.0000 0.2228  1 Pr 3.09, 4 Si 3.18, 4 In 3.38
2 Pr 0.0000 0.0000 0.7772  1 Pr 3.09, 4 Si 3.18, 4 In 3.38
3 In 0.5000 0.5000 0.5000  8 Pr 3.38, 2 Si 3.47
4 Si 0.5000 0.5000 0.0000  8 Pr 3.18, 2 In 3.47

***

No. 3
Compound: Bi3Te2O8
Source: Alexandria
Functional: PBE
Structure: relaxed

## Properties
E_form (uncorrected) (eV per atom): -0.816
Space-group type: R-3m

Cell: 7.2843 7.2843 7.2843 Å, 53.42 53.42 53.42°
With the nearest neighbours (Å) after each atom.
Element x y z (fractional)
1 Bi 0.0000 0.0000 0.0000  6 O 2.43
2 Bi 0.1782 0.1782 0.1782  3 O 2.28
3 Bi 0.8218 0.8218 0.8218  3 O 2.28
4 Te 0.4144 0.4144 0.4144  1 O 1.86
5 Te 0.5856 0.5856 0.5856  1 O 1.86
6 O 0.1985 0.7588 0.7588  1 Te 2.13, 1 Bi 2.28
7 O 0.2412 0.2412 0.8015  1 Te 2.13, 1 Bi 2.28
8 O 0.2412 0.8015 0.2412  1 Te 2.13, 1 Bi 2.28
9 O 0.3150 0.3150 0.3150  1 Te 1.86
10 O 0.6850 0.6850 0.6850  1 Te 1.86
11 O 0.7588 0.1985 0.7588  1 Te 2.13, 1 Bi 2.28
12 O 0.7588 0.7588 0.1985  1 Te 2.13, 1 Bi 2.28
13 O 0.8015 0.2412 0.2412  1 Te 2.13, 1 Bi 2.28

***

Looking at V for the records above, in order, we have 104.5, 107.5, 231.2 Å³/cell.
Looking at total magnetic moment for the records above, in order, we have 0.000, 0.000, 0.000 Bohr magnetons per cell.